Entry 1:
First-principles (PBE-GGA) data for a relaxed PuSbBr crystal, as listed in Alexandria via LeMat-Bulk.

a b c (Å): 8.077 8.077 8.077
angles (deg): 150.52 136.78 53.18
Sites, in units of the cell vectors:
Pu: 0.136 0.136 0.000
Pu: 0.864 0.864 0.000
Sb: 0.252 0.500 0.752
Sb: 0.748 0.500 0.248
Br: 0.290 0.790 0.500
Br: 0.710 0.210 0.500

Properties
- size of the total moment (μB/cell) = 10.554
- uncorrected energy (eV per atom) = -7.6105
- symmetry = Immm
- density (Mg/m³) = 8.38

---

Entry 2:
First-principles (PBE-GGA) data for a relaxed CoSi2B crystal, as listed in Alexandria via LeMat-Bulk.

a b c (Å): 5.895 5.895 5.895
angles (deg): 129.86 129.86 73.63
Sites, in units of the cell vectors:
Co: 0.000 0.000 0.000
Co: 0.750 0.250 0.500
Si: 0.165 0.625 0.040
Si: 0.375 0.415 0.540
Si: 0.585 0.125 0.960
Si: 0.875 0.835 0.460
B: 0.250 0.750 0.500
B: 0.500 0.500 0.000

Properties
- size of the total moment (μB/cell) = 0.000
- uncorrected energy (eV per atom) = -5.7382
- symmetry = I-42d
- density (Mg/m³) = 3.55

---

Entry 3:
First-principles (PBE-GGA) data for a relaxed SrTbIr crystal, as listed in Alexandria via LeMat-Bulk.

a b c (Å): 7.300 7.300 7.300
angles (deg): 151.84 151.84 40.24
Sites, in units of the cell vectors:
Sr: 0.000 0.000 0.000
Tb: 0.250 0.250 0.000
Ir: 0.648 0.648 0.000

Properties
- size of the total moment (μB/cell) = 0.000
- uncorrected energy (eV per atom) = -5.4348
- symmetry = I4mm
- density (Mg/m³) = 8.43